Record 1
InFe2As | PBE-GGA | relaxed

The calculation puts the distance to the lowest polymorph of the same formula at 0.103 eV per atom.

Unit cell a=4.012 b=3.176 c=10.149 alpha=90.00 beta=90.00 gamma=90.00
Space group Amm2 (No. 38)
Inequivalent atoms, fractional coordinates:
In1 0.000 0.000 0.000 [2 per cell]
Fe1 0.000 0.000 0.269 [2 per cell]
Fe2 0.500 0.000 0.399 [2 per cell]
As1 0.500 0.000 0.709 [2 per cell]

Record 2
InFe2As | PBE-GGA | relaxed

The calculation puts the distance to the lowest polymorph of the same formula at 0.253 eV per atom.

Unit cell a=4.369 b=4.369 c=3.202 alpha=90.00 beta=90.00 gamma=90.00
Space group P4/mmm (No. 123)
Inequivalent atoms, fractional coordinates:
In1 0.000 0.000 0.000 [1 per cell]
Fe1 0.000 0.500 0.500 [2 per cell]
As1 0.500 0.500 0.000 [1 per cell]

Record 3
InFe2As | PBE-GGA | relaxed

The calculation puts the distance to the lowest polymorph of the same formula at 0.371 eV per atom.

Unit cell a=6.997 b=6.997 c=5.555 alpha=90.00 beta=90.00 gamma=90.00
Space group I-42d (No. 122)
Inequivalent atoms, fractional coordinates:
In1 0.000 0.000 0.000 [4 per cell]
Fe1 0.201 0.250 0.625 [8 per cell]
As1 0.000 0.000 0.500 [4 per cell]

Record 4
InFe2As2 | PBE-GGA | relaxed

The calculation puts the distance to the lowest polymorph of the same formula at 0.181 eV per atom.

Unit cell a=7.212 b=7.212 c=2.917 alpha=90.00 beta=90.00 gamma=90.00
Space group P4/mbm (No. 127)
Inequivalent atoms, fractional coordinates:
In1 0.000 0.000 0.000 [2 per cell]
Fe1 0.136 0.364 0.000 [4 per cell]
As1 0.144 0.644 0.500 [4 per cell]

Record 5
InFe2As | PBE-GGA | relaxed

The calculation puts the distance to the lowest polymorph of the same formula at 0.122 eV per atom.

Unit cell a=2.929 b=2.929 c=6.467 alpha=90.00 beta=90.00 gamma=90.00
Space group P4/mmm (No. 123)
Inequivalent atoms, fractional coordinates:
In1 0.000 0.000 0.000 [1 per cell]
Fe1 0.500 0.500 0.295 [2 per cell]
As1 0.000 0.000 0.500 [1 per cell]

Record 6
InFe2As | PBE-GGA | relaxed

The calculation puts the distance to the lowest polymorph of the same formula at 0.157 eV per atom.

Unit cell a=3.0576 b=3.0576 c=24.7084 alpha=90.00 beta=90.00 gamma=120.00
Space group R3m (No. 160, hexagonal axes)
Inequivalent atoms, fractional coordinates:
In1 0.0000 0.0000 0.0000 [3 per cell]
Fe1 0.0000 0.0000 0.2445 [3 per cell]
Fe2 0.0000 0.0000 0.5098 [3 per cell]
As1 0.0000 0.0000 0.7747 [3 per cell]

Record 7
InFe2As | PBE-GGA | relaxed

The calculation puts the distance to the lowest polymorph of the same formula at 0.231 eV per atom.

Unit cell a=3.825 b=3.825 c=8.503 alpha=90.00 beta=90.00 gamma=90.00
Space group I-4m2 (No. 119)
Inequivalent atoms, fractional coordinates:
In1 0.000 0.000 0.000 [2 per cell]
Fe1 0.000 0.000 0.500 [2 per cell]
Fe2 0.000 0.500 0.250 [2 per cell]
As1 0.000 0.500 0.750 [2 per cell]

Record 8
InFe2As | PBE-GGA | relaxed

The calculation puts the distance to the lowest polymorph of the same formula at 0.304 eV per atom.

Unit cell a=6.064 b=6.064 c=6.064 alpha=90.00 beta=90.00 gamma=90.00
Space group Fm-3m (No. 225)
Inequivalent atoms, fractional coordinates:
In1 0.000 0.000 0.000 [4 per cell]
Fe1 0.250 0.250 0.250 [8 per cell]
As1 0.000 0.000 0.500 [4 per cell]

Record 9
InFe2As | PBE-GGA | relaxed

The calculation puts the distance to the lowest polymorph of the same formula at 0.397 eV per atom.

Unit cell a=6.390 b=6.390 c=6.390 alpha=90.00 beta=90.00 gamma=90.00
Space group F-43m (No. 216)
Inequivalent atoms, fractional coordinates:
In1 0.000 0.000 0.000 [4 per cell]
Fe1 0.000 0.000 0.500 [4 per cell]
Fe2 0.250 0.250 0.250 [4 per cell]
As1 0.250 0.250 0.750 [4 per cell]

Record 10
InFe2As | PBE-GGA | relaxed

The calculation puts the distance to the lowest polymorph of the same formula at 0.150 eV per atom.

Unit cell a=2.926 b=4.281 c=10.183 alpha=90.00 beta=90.00 gamma=90.00
Space group Imm2 (No. 44)
Inequivalent atoms, fractional coordinates:
In1 0.000 0.000 0.000 [2 per cell]
Fe1 0.000 0.000 0.462 [2 per cell]
Fe2 0.000 0.500 0.183 [2 per cell]
As1 0.000 0.500 0.772 [2 per cell]

Record 11
InFeAs | PBE-GGA | relaxed

Unit cell a=3.1931 b=3.1931 c=6.0581 alpha=90.00 beta=90.00 gamma=120.00
Space group P3m1 (No. 156)
Inequivalent atoms, fractional coordinates:
In1 0.0000 0.0000 0.0000 [1 per cell]
Fe1 0.6667 0.3333 0.6636 [1 per cell]
As1 0.3333 0.6667 0.4200 [1 per cell]

Record 12
InFeAs | PBE-GGA | relaxed

Unit cell a=4.0844 b=4.0844 c=3.9320 alpha=90.00 beta=90.00 gamma=120.00
Space group P-6m2 (No. 187)
Inequivalent atoms, fractional coordinates:
In1 0.0000 0.0000 0.0000 [1 per cell]
Fe1 0.3333 0.6667 0.5000 [1 per cell]
As1 0.6667 0.3333 0.5000 [1 per cell]

Number 1: uncorrected energy -5.897 eV/atom, DOS at the Fermi energy 2.763 states/eV/f.u., ΔH_f (0 K) 0.18 eV/atom. Number 2: uncorrected energy -5.746 eV/atom, DOS at the Fermi energy 4.636 states/eV/f.u., ΔH_f (0 K) 0.33 eV/atom. Number 3: uncorrected energy -5.629 eV/atom, DOS at the Fermi energy 4.246 states/eV/f.u., ΔH_f (0 K) 0.45 eV/atom. Number 4: uncorrected energy -5.566 eV/atom, DOS at the Fermi energy 4.311 states/eV/f.u., ΔH_f (0 K) 0.23 eV/atom. Number 5: uncorrected energy -5.878 eV/atom, DOS at the Fermi energy 4.171 states/eV/f.u., ΔH_f (0 K) 0.20 eV/atom. Number 6: uncorrected energy -5.842 eV/atom, DOS at the Fermi energy 2.822 states/eV/f.u., ΔH_f (0 K) 0.24 eV/atom. Number 7: uncorrected energy -5.768 eV/atom, DOS at the Fermi energy 3.249 states/eV/f.u., ΔH_f (0 K) 0.31 eV/atom. Number 8: uncorrected energy -5.695 eV/atom, DOS at the Fermi energy 1.362 states/eV/f.u., ΔH_f (0 K) 0.38 eV/atom. Number 9: uncorrected energy -5.602 eV/atom, DOS at the Fermi energy 3.925 states/eV/f.u., ΔH_f (0 K) 0.48 eV/atom. Number 10: uncorrected energy -5.849 eV/atom, DOS at the Fermi energy 3.783 states/eV/f.u., ΔH_f (0 K) 0.23 eV/atom. Number 11: uncorrected energy -5.184 eV/atom, DOS at the Fermi energy 2.084 states/eV/f.u., ΔH_f (0 K) 0.10 eV/atom. Number 12: uncorrected energy -5.110 eV/atom, DOS at the Fermi energy 2.210 states/eV/f.u., ΔH_f (0 K) 0.17 eV/atom.